[1]
Density functional theory data (PBE-GGA) for Ac5TbDy after structural relaxation.

Lattice parameters (Å, degrees): 6.6568 9.8446 9.9701 85.00 75.07 70.24
Closest atoms and distances in Å follow each position.
Positions (direct):
Ac 0.3871 0.6323 0.8541  9 Ac 3.70-3.97, 1 Tb 3.71, 1 Dy 3.81
Ac 0.4660 0.2891 0.5361  2 Tb 3.60-3.94, 1 Dy 3.68, 5 Ac 3.70-3.96
Ac 0.0193 0.3677 0.3541  9 Ac 3.70-3.97, 1 Tb 3.71, 1 Dy 3.81
Ac 0.8659 0.2681 0.7500  2 Dy 3.52, 6 Ac 3.76-3.94
Ac 0.2449 0.2891 0.9639  2 Tb 3.60-3.94, 1 Dy 3.68, 5 Ac 3.70-3.96
Ac 0.7551 0.7109 0.0361  2 Tb 3.60-3.94, 1 Dy 3.68, 5 Ac 3.70-3.96
Ac 0.1341 0.7319 0.2500  2 Dy 3.52, 6 Ac 3.76-3.94
Ac 0.9807 0.6323 0.6459  9 Ac 3.70-3.97, 1 Tb 3.71, 1 Dy 3.81
Ac 0.5340 0.7109 0.4639  2 Tb 3.60-3.94, 1 Dy 3.68, 5 Ac 3.70-3.96
Ac 0.6129 0.3677 0.1459  9 Ac 3.70-3.97, 1 Tb 3.71, 1 Dy 3.81
Tb 0.5146 0.9708 0.7500  6 Ac 3.60-3.94, 2 Dy 3.62
Tb 0.4854 0.0292 0.2500  6 Ac 3.60-3.94, 2 Dy 3.62
Dy 0.0000 0.0000 0.0000  6 Ac 3.52-3.81, 2 Tb 3.62
Dy 0.0000 0.0000 0.5000  6 Ac 3.52-3.81, 2 Tb 3.62

The value obtained for the total magnetization is 0.00 μB/f.u. The total energy is -56.47 eV for the cell shown. The formation energy comes out at 148 kJ/mol of formula units. The value obtained for the density of states at the Fermi level is 1.561 states/eV/atom. The space group is C2/c (15).

=====

[2]
Density functional theory data (PBE-GGA) for Ac7TbDy2 after structural relaxation.

Lattice parameters (Å, degrees): 6.0878 9.6503 9.6503 63.44 90.00 90.00
Closest atoms and distances in Å follow each position.
Positions (direct):
Ac 0.0000 0.2407 0.2407  2 Dy 3.19
Ac 0.0000 0.7593 0.7593  2 Dy 3.19
Ac 0.5000 0.9384 0.3087  2 Dy 3.43-3.44, 2 Ac 3.76-3.78
Ac 0.5000 0.0616 0.6913  2 Dy 3.43-3.44, 2 Ac 3.76-3.78
Ac 0.5000 0.6913 0.0616  2 Dy 3.43-3.44, 2 Ac 3.76-3.78
Ac 0.5000 0.3087 0.9384  2 Dy 3.43-3.44, 2 Ac 3.76-3.78
Ac 0.5000 0.5000 0.5000  2 Dy 3.31
Tb 0.0000 0.0000 0.0000  10 Ac 3.95-4.11
Dy 0.5000 0.2984 0.2984  7 Ac 3.19-3.44
Dy 0.5000 0.7016 0.7016  7 Ac 3.19-3.44

The value obtained for the total magnetization is 0.00 μB/f.u. The total energy is -36.29 eV for the cell shown. The formation energy comes out at 608 kJ/mol of formula units. The value obtained for the density of states at the Fermi level is 1.389 states/eV/atom. The space group is Cmmm (65).

=====

[3]
Density functional theory data (PBE-GGA) for Ac2Tb2Dy7 after structural relaxation.

Lattice parameters (Å, degrees): 3.7066 10.6491 10.6491 68.16 100.05 100.05
Closest atoms and distances in Å follow each position.
Positions (direct):
Ac 0.3059 0.8063 0.8063  10 Dy 3.68-3.90, 2 Ac 3.71
Ac 0.6941 0.1937 0.1937  10 Dy 3.68-3.90, 2 Ac 3.71
Tb 0.5000 0.2451 0.7549  8 Dy 3.43-3.56, 2 Tb 3.71
Tb 0.5000 0.7549 0.2451  8 Dy 3.43-3.56, 2 Tb 3.71
Dy 0.1670 0.4335 0.8994  2 Tb 3.43, 6 Dy 3.45-3.71, 3 Ac 3.68-3.72
Dy 0.8330 0.1006 0.5665  2 Tb 3.43, 6 Dy 3.45-3.71, 3 Ac 3.68-3.72
Dy 0.8330 0.5665 0.1006  2 Tb 3.43, 6 Dy 3.45-3.71, 3 Ac 3.68-3.72
Dy 0.1670 0.8994 0.4335  2 Tb 3.43, 6 Dy 3.45-3.71, 3 Ac 3.68-3.72
Dy 0.3931 0.3925 0.3925  7 Dy 3.49-3.71, 2 Tb 3.56, 2 Ac 3.90
Dy 0.0000 0.0000 0.0000  4 Tb 3.46, 2 Dy 3.71, 4 Ac 3.82
Dy 0.6069 0.6075 0.6075  7 Dy 3.49-3.71, 2 Tb 3.56, 2 Ac 3.90

The value obtained for the total magnetization is 0.00 μB/f.u. The total energy is -48.26 eV for the cell shown. The formation energy comes out at 138 kJ/mol of formula units. The value obtained for the density of states at the Fermi level is 1.251 states/eV/atom. The space group is Immm (71).

=====

[4]
Density functional theory data (PBE-GGA) for AcTb3Dy7 after structural relaxation.

Lattice parameters (Å, degrees): 8.6859 7.1072 7.1072 120.00 90.00 90.00
Closest atoms and distances in Å follow each position.
Positions (direct):
Ac 0.4468 0.3333 0.6667  9 Dy 3.54-3.55, 3 Tb 3.61
Tb 0.7877 0.5017 0.4983  5 Dy 3.51-3.58, 4 Tb 3.52-3.59, 1 Ac 3.61
Tb 0.7877 0.5017 0.0034  5 Dy 3.51-3.58, 4 Tb 3.52-3.59, 1 Ac 3.61
Tb 0.7877 0.9966 0.4983  5 Dy 3.51-3.58, 4 Tb 3.52-3.59, 1 Ac 3.61
Dy 0.1141 0.1666 0.8334  2 Tb 3.51, 1 Ac 3.54, 8 Dy 3.55-3.56
Dy 0.1141 0.1667 0.3333  2 Tb 3.51, 1 Ac 3.54, 8 Dy 3.55-3.56
Dy 0.1189 0.6667 0.3333  9 Dy 3.51-3.55, 3 Tb 3.52
Dy 0.4481 0.8321 0.1679  7 Dy 3.51-3.58, 2 Ac 3.55, 2 Tb 3.58
Dy 0.4481 0.3358 0.1679  7 Dy 3.51-3.58, 2 Ac 3.55, 2 Tb 3.58
Dy 0.4480 0.8321 0.6642  7 Dy 3.51-3.58, 2 Ac 3.55, 2 Tb 3.58
Dy 0.1141 0.6667 0.8334  2 Tb 3.51, 1 Ac 3.54, 8 Dy 3.55-3.56

The value obtained for the total magnetization is 0.00 μB/f.u. The total energy is -47.88 eV for the cell shown. For the relative energy among the computed polymorphs, the calculation gives 0.72 eV per formula unit. The formation energy comes out at 225 kJ/mol of formula units. The value obtained for the density of states at the Fermi level is 1.592 states/eV/atom. The space group is P3m1 (156).

=====

[5]
Density functional theory data (PBE-GGA) for Ac2Tb3Dy2 after structural relaxation.

Lattice parameters (Å, degrees): 3.6665 6.4486 10.9327 88.44 90.00 90.00
Closest atoms and distances in Å follow each position.
Positions (direct):
Ac 0.0000 0.5091 0.8140  4 Tb 3.60-3.98, 2 Ac 3.67, 4 Dy 3.80-3.85
Ac 0.0000 0.4909 0.1860  4 Tb 3.60-3.98, 2 Ac 3.67, 4 Dy 3.80-3.85
Tb 0.0000 0.2506 0.4874  2 Tb 3.24, 4 Dy 3.47-3.50, 1 Ac 3.60
Tb 0.0000 0.0000 0.0000  4 Dy 3.50, 2 Tb 3.67, 4 Ac 3.81
Tb 0.0000 0.7494 0.5126  2 Tb 3.24, 4 Dy 3.47-3.50, 1 Ac 3.60
Dy 0.5000 0.9823 0.2733  6 Tb 3.47-3.50, 2 Dy 3.67, 4 Ac 3.80-3.85
Dy 0.5000 0.0177 0.7267  6 Tb 3.47-3.50, 2 Dy 3.67, 4 Ac 3.80-3.85

The value obtained for the total magnetization is 0.00 μB/f.u. The total energy is -29.78 eV for the cell shown. The formation energy comes out at 147 kJ/mol of formula units. The value obtained for the density of states at the Fermi level is 1.778 states/eV/atom. The space group is P2/m (10).

=====

[6]
Density functional theory data (PBE-GGA) for Ac2Tb6Dy5 after structural relaxation.

Lattice parameters (Å, degrees): 3.6516 11.9326 20.3672 90.00 90.00 90.00
Closest atoms and distances in Å follow each position.
Positions (direct):
Ac 0.0000 0.3377 0.2785  4 Tb 3.57-3.99, 6 Dy 3.61-3.92, 2 Ac 3.65
Ac 0.0000 0.6623 0.7215  4 Tb 3.57-3.99, 6 Dy 3.61-3.92, 2 Ac 3.65
Ac 0.0000 0.8377 0.2215  4 Tb 3.57-3.99, 6 Dy 3.61-3.92, 2 Ac 3.65
Ac 0.0000 0.1623 0.7785  4 Tb 3.57-3.99, 6 Dy 3.61-3.92, 2 Ac 3.65
Tb 0.0000 0.0747 0.3624  6 Dy 3.46-3.68, 1 Ac 3.57, 4 Tb 3.58-3.65
Tb 0.0000 0.9253 0.6376  6 Dy 3.46-3.68, 1 Ac 3.57, 4 Tb 3.58-3.65
Tb 0.0000 0.5747 0.1376  6 Dy 3.46-3.68, 1 Ac 3.57, 4 Tb 3.58-3.65
Tb 0.0000 0.4253 0.8624  6 Dy 3.46-3.68, 1 Ac 3.57, 4 Tb 3.58-3.65
Tb 0.5000 0.3182 0.1186  2 Dy 3.25-3.30, 2 Tb 3.58
Tb 0.5000 0.6818 0.8814  2 Dy 3.25-3.30, 2 Tb 3.58
Tb 0.5000 0.8182 0.3814  2 Dy 3.25-3.30, 2 Tb 3.58
Tb 0.5000 0.1818 0.6186  2 Dy 3.25-3.30, 2 Tb 3.58
Tb 0.0000 0.5592 0.4251  5 Tb 3.36-3.70, 6 Dy 3.46-3.63
Tb 0.0000 0.4408 0.5749  5 Tb 3.36-3.70, 6 Dy 3.46-3.63
Tb 0.0000 0.0592 0.0749  5 Tb 3.36-3.70, 6 Dy 3.46-3.63
Tb 0.0000 0.9408 0.9251  5 Tb 3.36-3.70, 6 Dy 3.46-3.63
Dy 0.5000 0.2995 0.4474  7 Tb 3.59-3.76, 3 Dy 3.65-3.73, 2 Ac 3.92
Dy 0.5000 0.7005 0.5526  7 Tb 3.59-3.76, 3 Dy 3.65-3.73, 2 Ac 3.92
Dy 0.5000 0.7995 0.0526  7 Tb 3.59-3.76, 3 Dy 3.65-3.73, 2 Ac 3.92
Dy 0.5000 0.2005 0.9474  7 Tb 3.59-3.76, 3 Dy 3.65-3.73, 2 Ac 3.92
Dy 0.5000 0.5988 0.2826  5 Tb 3.30-3.48, 4 Ac 3.61, 2 Dy 3.65
Dy 0.5000 0.4012 0.7174  5 Tb 3.30-3.48, 4 Ac 3.61, 2 Dy 3.65
Dy 0.5000 0.0988 0.2174  5 Tb 3.30-3.48, 4 Ac 3.61, 2 Dy 3.65
Dy 0.5000 0.9012 0.7826  5 Tb 3.30-3.48, 4 Ac 3.61, 2 Dy 3.65
Dy 0.5000 0.5000 0.0000  6 Tb 3.25-3.46
Dy 0.5000 0.0000 0.5000  6 Tb 3.25-3.46

The value obtained for the total magnetization is 0.00 μB/f.u. The total energy is -114.98 eV for the cell shown. The formation energy comes out at 146 kJ/mol of formula units. The value obtained for the density of states at the Fermi level is 1.379 states/eV/atom. The space group is Pbam (55).

=====

[7]
Density functional theory data (PBE-GGA) for AcTbDy2 after structural relaxation.

Lattice parameters (Å, degrees): 5.1547 5.1760 5.1760 90.00 90.00 90.00
Closest atoms and distances in Å follow each position.
Positions (direct):
Ac 0.5000 0.5000 0.5000  8 Dy 3.65, 4 Tb 3.66
Tb 0.5000 0.0000 0.0000  8 Dy 3.65, 4 Ac 3.66
Dy 0.0000 0.0000 0.5000  4 Tb 3.65, 4 Ac 3.65, 4 Dy 3.66
Dy 0.0000 0.5000 0.0000  4 Tb 3.65, 4 Ac 3.65, 4 Dy 3.66

The value obtained for the total magnetization is 0.00 μB/f.u. The total energy is -17.72 eV for the cell shown. For the relative energy among the computed polymorphs, the calculation gives 0.04 eV per formula unit. The formation energy comes out at 22 kJ/mol of formula units. The value obtained for the density of states at the Fermi level is 1.632 states/eV/atom. The space group is P4/mmm (123).

=====

[8]
Density functional theory data (PBE-GGA) for AcTb7Dy3 after structural relaxation.

Lattice parameters (Å, degrees): 8.6843 7.1284 7.1284 120.00 90.00 90.00
Closest atoms and distances in Å follow each position.
Positions (direct):
Ac 0.4465 0.3333 0.6667  9 Tb 3.55-3.56, 3 Dy 3.62
Tb 0.1131 0.1669 0.8331  2 Dy 3.50, 1 Ac 3.55, 8 Tb 3.56-3.58
Tb 0.1131 0.1669 0.3337  2 Dy 3.50, 1 Ac 3.55, 8 Tb 3.56-3.58
Tb 0.1188 0.6667 0.3333  9 Tb 3.52-3.56, 3 Dy 3.52
Tb 0.4494 0.8320 0.1680  7 Tb 3.52-3.59, 2 Ac 3.56, 2 Dy 3.57
Tb 0.4494 0.3359 0.1680  7 Tb 3.52-3.59, 2 Ac 3.56, 2 Dy 3.57
Tb 0.4494 0.8320 0.6641  7 Tb 3.52-3.59, 2 Ac 3.56, 2 Dy 3.57
Tb 0.1131 0.6663 0.8331  2 Dy 3.50, 1 Ac 3.55, 8 Tb 3.56-3.58
Dy 0.7875 0.5018 0.4982  5 Tb 3.50-3.57, 4 Dy 3.53-3.60, 1 Ac 3.62
Dy 0.7875 0.5018 0.0036  5 Tb 3.50-3.57, 4 Dy 3.53-3.60, 1 Ac 3.62
Dy 0.7875 0.9964 0.4982  5 Tb 3.50-3.57, 4 Dy 3.53-3.60, 1 Ac 3.62

The value obtained for the total magnetization is 0.00 μB/f.u. The total energy is -48.00 eV for the cell shown. For the relative energy among the computed polymorphs, the calculation gives 0.78 eV per formula unit. The formation energy comes out at 224 kJ/mol of formula units. The value obtained for the density of states at the Fermi level is 1.593 states/eV/atom. The space group is P3m1 (156).